! TlFeSi2 PBE relaxed; values from VASP
&SYSTEM
  ibrav = 0, nat = 4, ntyp = 3
/
ATOMIC_SPECIES
Si 28.09 Si.upf
Fe 55.84 Fe.upf
Tl 204.38 Tl.upf
CELL_PARAMETERS angstrom
2.911 0.011 0.000
-0.010 2.911 0.000
0.000 0.000 8.028
ATOMIC_POSITIONS crystal
Si 0.000 0.000 0.914
Si 0.000 0.000 0.586
Fe 0.500 0.500 0.750
Tl 0.500 0.500 0.250
! - space-group type = No. 123
! - calculated density (g/cm³) = 7.72
! - uncorrected formation energy (eV per atom) = 0.16
! - V (Å³ per cell) = 68.0
! - relative energy among the computed polymorphs (meV per atom) = 24.9
! - total magnetization (μB/f.u.) = 0.4